1.
Here is LaSnPd3 after structural relaxation from the Alexandria database. Energies are from PBE.

Computed properties:
crystal system: orthorhombic
theoretical density: 9.25 g/cm³
formation enthalpy at 0 K: -0.677 eV/atom

Geometry as CIF:
```
data_LaSnPd3
_chemical_formula_sum 'La4 Sn4 Pd12'
_cell_length_a 5.974
_cell_length_b 13.139
_cell_length_c 5.277
_cell_angle_alpha 90.00
_cell_angle_beta 90.00
_cell_angle_gamma 90.00
_space_group_name_H-M_alt 'C m c m'
_space_group_IT_number 63
_space_group_name_Hall '-C 2c 2'
loop_
_atom_site_label
_atom_site_type_symbol
_atom_site_fract_x
_atom_site_fract_y
_atom_site_fract_z
La1 La 0.000 0.092 0.250
Sn1 Sn 0.000 0.313 0.750
Pd1 Pd 0.000 0.500 0.000
Pd2 Pd 0.243 0.349 0.250
```


2.
Here is CaPm2Ge after structural relaxation from the Alexandria database. Energies are from PBE.

Computed properties:
crystal system: orthorhombic
theoretical density: 5.55 g/cm³
formation enthalpy at 0 K: -0.301 eV/atom

Geometry as CIF:
```
data_CaPm2Ge
_chemical_formula_sum 'Ca4 Pm8 Ge4'
_cell_length_a 5.387
_cell_length_b 12.825
_cell_length_c 6.977
_cell_angle_alpha 90.00
_cell_angle_beta 90.00
_cell_angle_gamma 90.00
_space_group_name_H-M_alt 'C m c m'
_space_group_IT_number 63
_space_group_name_Hall '-C 2c 2'
loop_
_atom_site_label
_atom_site_type_symbol
_atom_site_fract_x
_atom_site_fract_y
_atom_site_fract_z
Ca1 Ca 0.000 0.062 0.250
Pm1 Pm 0.000 0.355 0.028
Ge1 Ge 0.000 0.173 0.750
```


3.
Here is Zr3VIn after structural relaxation from the Alexandria database. Energies are from PBE.

Computed properties:
crystal system: cubic
theoretical density: 5.00 g/cm³
formation enthalpy at 0 K: 1.385 eV/atom

Geometry as CIF:
```
data_Zr3VIn
_chemical_formula_sum 'Zr3 V1 In1'
_cell_length_a 5.264
_cell_length_b 5.264
_cell_length_c 5.264
_cell_angle_alpha 90.00
_cell_angle_beta 90.00
_cell_angle_gamma 90.00
_space_group_name_H-M_alt 'P m -3 m'
_space_group_IT_number 221
_space_group_name_Hall '-P 4 2 3'
loop_
_atom_site_label
_atom_site_type_symbol
_atom_site_fract_x
_atom_site_fract_y
_atom_site_fract_z
Zr1 Zr 0.000 0.000 0.500
V1 V 0.500 0.500 0.500
In1 In 0.000 0.000 0.000
```


4.
Here is TbZr2As4 after structural relaxation from the Alexandria database. Energies are from PBE.

Computed properties:
crystal system: orthorhombic
theoretical density: 6.64 g/cm³
formation enthalpy at 0 K: -0.939 eV/atom

Geometry as CIF:
```
data_TbZr2As4
_chemical_formula_sum 'Tb4 Zr8 As16'
_cell_length_a 3.901
_cell_length_b 12.940
_cell_length_c 12.706
_cell_angle_alpha 90.00
_cell_angle_beta 90.00
_cell_angle_gamma 90.00
_space_group_name_H-M_alt 'C m c m'
_space_group_IT_number 63
_space_group_name_Hall '-C 2c 2'
loop_
_atom_site_label
_atom_site_type_symbol
_atom_site_fract_x
_atom_site_fract_y
_atom_site_fract_z
Tb1 Tb 0.000 0.107 0.250
Zr1 Zr 0.000 0.365 0.056
As1 As 0.000 0.000 0.000
As2 As 0.000 0.262 0.633
As3 As 0.000 0.442 0.250
```


Look up the theoretical density of the second one. 5.55 g/cm³


Among the records above, which one has the highest formation enthalpy at 0 K? Zr3VIn


Among the records above, which one has the highest theoretical density? LaSnPd3


What is the formation enthalpy at 0 K in the first record? -0.677 eV/atom